(1)
{"formula": "CeSn2Pb", "functional": "GGA-PBE", "state": "optimized geometry", "space_group": "P4/mmm, No. 123", "formation_energy_mev_per_atom": -290, "rho_g_cm3": 8.522, "lattice_angstrom": [[-1.182, 0.091, -3.986], [-2.665, -3.111, 0.719], [-4.699, 4.371, 1.493]], "species": ["Sn", "Ce", "Sn", "Pb"], "fractional_positions": [[0.000, 0.000, 0.751], [0.500, 0.500, 0.500], [0.000, 0.000, 0.249], [0.500, 0.500, 0.000]]}



(2)
{"formula": "Ce7Sn2Pb", "functional": "GGA-PBE", "state": "optimized geometry", "space_group": "P3m1, No. 156", "formation_energy_mev_per_atom": -272, "rho_g_cm3": 8.174, "lattice_angstrom": [[-4.234, -3.065, -0.933], [4.204, -1.989, 2.561], [-4.716, 3.362, 10.351]], "species": ["Ce", "Sn", "Ce", "Ce", "Pb", "Ce", "Ce", "Ce", "Sn", "Ce"], "fractional_positions": [[0.000, 0.000, 0.253], [0.333, 0.667, 0.734], [0.667, 0.333, 0.084], [0.333, 0.667, 0.451], [0.000, 0.000, 0.963], [0.667, 0.333, 0.851], [0.000, 0.000, 0.643], [0.667, 0.333, 0.622], [0.667, 0.333, 0.352], [0.333, 0.667, 0.064]]}



(3)
{"formula": "Ce9Sn2Pb", "functional": "GGA-PBE", "state": "optimized geometry", "space_group": "P4/mmm, No. 123", "formation_energy_mev_per_atom": -363, "rho_g_cm3": 8.548, "lattice_angstrom": [[4.798, 0.000, 0.000], [0.000, 4.798, 0.000], [0.000, 0.000, 14.395]], "species": ["Sn", "Ce", "Ce", "Ce", "Ce", "Ce", "Ce", "Ce", "Ce", "Pb", "Ce", "Sn"], "fractional_positions": [[0.000, 0.000, 0.666], [0.000, 0.500, 0.170], [0.000, 0.500, 0.500], [0.500, 0.500, 0.000], [0.500, 0.000, 0.500], [0.500, 0.000, 0.830], [0.000, 0.500, 0.830], [0.500, 0.500, 0.335], [0.500, 0.500, 0.665], [0.000, 0.000, 0.000], [0.500, 0.000, 0.170], [0.000, 0.000, 0.334]]}



(4)
{"formula": "Ce8Sn3Pb4", "functional": "GGA-PBE", "state": "optimized geometry", "space_group": "C2/m, No. 12", "formation_energy_mev_per_atom": -260, "rho_g_cm3": 7.357, "lattice_angstrom": [[-8.792, -0.903, -1.953], [4.037, -5.887, 5.530], [2.803, 6.818, 5.215]], "species": ["Ce", "Ce", "Pb", "Ce", "Sn", "Pb", "Ce", "Pb", "Sn", "Sn", "Ce", "Ce", "Ce", "Ce", "Pb"], "fractional_positions": [[0.500, 0.252, 0.252], [0.997, 0.749, 0.749], [0.000, 0.000, 0.000], [0.003, 0.251, 0.251], [0.500, 0.500, 0.500], [0.000, 0.500, 0.000], [0.000, 0.750, 0.250], [0.000, 0.000, 0.500], [0.500, 0.500, 0.000], [0.500, 0.000, 0.500], [0.500, 0.749, 0.251], [0.500, 0.748, 0.748], [0.000, 0.250, 0.750], [0.500, 0.251, 0.749], [0.500, 0.000, 0.000]]}



(5)
{"formula": "Ce3SnPb", "functional": "GGA-PBE", "state": "optimized geometry", "space_group": "Amm2, No. 38", "formation_energy_mev_per_atom": -163, "rho_g_cm3": 7.155, "lattice_angstrom": [[-5.148, -0.381, -3.359], [-2.930, -6.710, 5.253], [0.085, 5.429, -0.747]], "species": ["Pb", "Ce", "Ce", "Sn", "Ce"], "fractional_positions": [[0.000, 0.372, 0.743], [0.500, 0.370, 0.740], [0.000, 0.726, 0.743], [0.500, 0.870, 0.740], [0.000, 0.017, 0.743]]}



(6)
{"formula": "Ce2Sn3Pb3", "functional": "GGA-PBE", "state": "optimized geometry", "space_group": "Pmmm, No. 47", "formation_energy_mev_per_atom": -434, "rho_g_cm3": 9.384, "lattice_angstrom": [[4.796, 0.000, 0.000], [0.000, 4.808, 0.000], [0.000, 0.000, 9.653]], "species": ["Sn", "Pb", "Pb", "Sn", "Ce", "Sn", "Ce", "Pb"], "fractional_positions": [[0.500, 0.500, 0.753], [0.500, 0.000, 0.500], [0.000, 0.500, 0.500], [0.500, 0.000, 0.000], [0.000, 0.000, 0.756], [0.500, 0.500, 0.247], [0.000, 0.000, 0.244], [0.000, 0.500, 0.000]]}



(7)
{"formula": "Ce6SnPb5", "functional": "GGA-PBE", "state": "optimized geometry", "space_group": "Immm, No. 71", "formation_energy_mev_per_atom": -428, "de_polymorph_mev_per_atom": 0.0, "rho_g_cm3": 9.425, "lattice_angstrom": [[4.882, -0.004, -1.368], [-3.515, 7.915, -3.172], [-0.048, -0.202, 9.221]], "species": ["Ce", "Ce", "Pb", "Pb", "Ce", "Ce", "Pb", "Pb", "Sn", "Ce", "Ce", "Pb"], "fractional_positions": [[0.753, 0.918, 0.588], [0.753, 0.588, 0.918], [0.500, 0.500, 0.500], [0.500, 0.169, 0.831], [0.247, 0.082, 0.412], [0.256, 0.756, 0.756], [0.500, 0.831, 0.169], [0.000, 0.335, 0.665], [0.000, 0.000, 0.000], [0.247, 0.412, 0.082], [0.744, 0.244, 0.244], [0.000, 0.665, 0.335]]}



(8)
{"formula": "Ce5Sn2Pb2", "functional": "GGA-PBE", "state": "optimized geometry", "space_group": "Cmce, No. 64", "formation_energy_mev_per_atom": -464, "de_polymorph_mev_per_atom": 25.0, "rho_g_cm3": 7.947, "lattice_angstrom": [[-2.149, -0.885, -8.128], [-4.459, -6.886, 1.929], [-4.193, 7.940, 0.244]], "species": ["Ce", "Ce", "Ce", "Ce", "Sn", "Ce", "Ce", "Ce", "Ce", "Pb", "Ce", "Pb", "Pb", "Ce", "Sn", "Sn", "Pb", "Sn"], "fractional_positions": [[0.500, 0.500, 0.000], [0.325, 0.964, 0.283], [0.325, 0.681, 0.717], [0.825, 0.819, 0.283], [0.500, 0.294, 0.588], [0.675, 0.036, 0.717], [0.000, 0.000, 0.000], [0.175, 0.464, 0.283], [0.675, 0.319, 0.283], [0.130, 0.629, 0.000], [0.175, 0.181, 0.717], [0.630, 0.871, 0.000], [0.370, 0.129, 0.000], [0.825, 0.536, 0.717], [0.500, 0.706, 0.412], [0.000, 0.794, 0.588], [0.870, 0.371, 0.000], [0.000, 0.206, 0.412]]}



(9)
{"formula": "Ce6SnPb5", "functional": "GGA-PBE", "state": "optimized geometry", "space_group": "C2/m, No. 12", "formation_energy_mev_per_atom": -315, "de_polymorph_mev_per_atom": 112.7, "rho_g_cm3": 8.334, "lattice_angstrom": [[-1.113, 7.014, 3.385], [-7.517, 2.160, -0.852], [-5.310, -2.002, 5.449]], "species": ["Ce", "Pb", "Pb", "Ce", "Ce", "Ce", "Ce", "Pb", "Pb", "Pb", "Ce", "Sn"], "fractional_positions": [[0.752, 0.413, 0.669], [0.500, 0.500, 0.000], [0.000, 0.666, 0.667], [0.752, 0.083, 0.331], [0.751, 0.753, 0.000], [0.249, 0.247, 0.000], [0.248, 0.917, 0.669], [0.000, 0.334, 0.333], [0.500, 0.168, 0.663], [0.500, 0.832, 0.337], [0.248, 0.587, 0.331], [0.000, 0.000, 0.000]]}



(10)
{"formula": "Ce8Sn4Pb3", "functional": "GGA-PBE", "state": "optimized geometry", "space_group": "C2/m, No. 12", "formation_energy_mev_per_atom": -285, "rho_g_cm3": 7.084, "lattice_angstrom": [[-0.077, 8.684, 2.341], [-6.616, -3.324, -5.158], [-1.648, -6.343, 6.204]], "species": ["Ce", "Sn", "Ce", "Sn", "Sn", "Sn", "Pb", "Ce", "Pb", "Ce", "Ce", "Pb", "Ce", "Ce", "Ce"], "fractional_positions": [[0.500, 0.249, 0.751], [0.000, 0.000, 0.500], [0.000, 0.753, 0.247], [0.000, 0.000, 0.000], [0.500, 0.000, 0.000], [0.000, 0.500, 0.000], [0.500, 0.500, 0.000], [0.003, 0.754, 0.754], [0.500, 0.500, 0.500], [0.000, 0.247, 0.753], [0.494, 0.245, 0.245], [0.500, 0.000, 0.500], [0.500, 0.751, 0.249], [0.506, 0.755, 0.755], [0.997, 0.246, 0.246]]}



(11)
{"formula": "Ce15SnPb4", "functional": "GGA-PBE", "state": "optimized geometry", "space_group": "P4/mmm, No. 123", "formation_energy_mev_per_atom": -296, "rho_g_cm3": 9.031, "lattice_angstrom": [[-4.571, -0.307, -1.513], [-0.231, -4.539, 1.619], [-7.618, 8.019, 21.394]], "species": ["Pb", "Ce", "Ce", "Ce", "Ce", "Ce", "Ce", "Pb", "Pb", "Ce", "Ce", "Sn", "Ce", "Ce", "Pb", "Ce", "Ce", "Ce", "Ce", "Ce"], "fractional_positions": [[0.000, 0.000, 0.400], [0.500, 0.500, 0.199], [0.000, 0.500, 0.902], [0.500, 0.000, 0.098], [0.500, 0.500, 0.801], [0.500, 0.000, 0.902], [0.000, 0.500, 0.098], [0.000, 0.000, 0.801], [0.000, 0.000, 0.600], [0.500, 0.000, 0.701], [0.000, 0.500, 0.500], [0.000, 0.000, 0.000], [0.000, 0.500, 0.701], [0.500, 0.500, 0.600], [0.000, 0.000, 0.199], [0.500, 0.000, 0.299], [0.500, 0.500, 0.400], [0.500, 0.000, 0.500], [0.000, 0.500, 0.299], [0.500, 0.500, 0.000]]}



(12)
{"formula": "Ce6Sn2Pb", "functional": "GGA-PBE", "state": "optimized geometry", "space_group": "P6/mmm, No. 191", "formation_energy_mev_per_atom": -296, "de_polymorph_mev_per_atom": 0.0, "rho_g_cm3": 9.139, "lattice_angstrom": [[3.246, 0.000, 0.000], [0.000, 7.893, -4.557], [0.000, 0.000, 9.114]], "species": ["Ce", "Ce", "Sn", "Ce", "Ce", "Ce", "Ce", "Sn", "Pb"], "fractional_positions": [[0.500, 0.000, 0.345], [0.500, 0.000, 0.655], [0.000, 0.667, 0.333], [0.500, 0.345, 0.000], [0.500, 0.655, 0.655], [0.500, 0.655, 0.000], [0.500, 0.345, 0.345], [0.000, 0.333, 0.667], [0.000, 0.000, 0.000]]}



(13)
{"formula": "Ce3Sn3Pb", "functional": "GGA-PBE", "state": "optimized geometry", "space_group": "P6_3/m, No. 176", "formation_energy_mev_per_atom": -371, "rho_g_cm3": 8.236, "lattice_angstrom": [[-0.670, -3.708, -3.988], [6.927, -4.899, 3.390], [-8.532, -1.553, 2.877]], "species": ["Sn", "Ce", "Ce", "Sn", "Ce", "Sn", "Ce", "Sn", "Pb", "Sn", "Ce", "Sn", "Pb", "Ce"], "fractional_positions": [[0.250, 0.229, 0.046], [0.250, 0.351, 0.443], [0.250, 0.093, 0.649], [0.250, 0.954, 0.183], [0.250, 0.557, 0.907], [0.250, 0.817, 0.771], [0.750, 0.649, 0.557], [0.750, 0.771, 0.954], [0.250, 0.667, 0.333], [0.750, 0.183, 0.229], [0.750, 0.907, 0.351], [0.750, 0.046, 0.817], [0.750, 0.333, 0.667], [0.750, 0.443, 0.093]]}



(14)
{"formula": "Ce6SnPb12", "functional": "GGA-PBE", "state": "optimized geometry", "space_group": "R-3, No. 148", "formation_energy_mev_per_atom": -212, "rho_g_cm3": 9.594, "lattice_angstrom": [[-2.781, -7.550, -3.396], [7.648, -2.059, 3.678], [-5.307, 1.303, 6.812]], "species": ["Pb", "Ce", "Ce", "Ce", "Pb", "Pb", "Pb", "Pb", "Ce", "Pb", "Pb", "Pb", "Pb", "Pb", "Pb", "Pb", "Sn", "Ce", "Ce"], "fractional_positions": [[0.199, 0.584, 0.494], [0.916, 0.814, 0.562], [0.562, 0.916, 0.814], [0.438, 0.084, 0.186], [0.801, 0.416, 0.506], [0.416, 0.506, 0.801], [0.818, 0.272, 0.127], [0.584, 0.494, 0.199], [0.814, 0.562, 0.916], [0.873, 0.182, 0.728], [0.272, 0.127, 0.818], [0.127, 0.818, 0.272], [0.182, 0.728, 0.873], [0.728, 0.873, 0.182], [0.506, 0.801, 0.416], [0.494, 0.199, 0.584], [0.000, 0.000, 0.000], [0.186, 0.438, 0.084], [0.084, 0.186, 0.438]]}



(15)
{"formula": "CeSn2Pb", "functional": "GGA-PBE", "state": "optimized geometry", "space_group": "R-3m, No. 166", "formation_energy_mev_per_atom": 146, "rho_g_cm3": 7.988, "lattice_angstrom": [[-2.642, 0.751, -2.024], [-1.140, -2.304, -2.243], [-8.857, -4.845, 6.886]], "species": ["Sn", "Sn", "Pb", "Ce"], "fractional_positions": [[0.088, 0.088, 0.735], [0.912, 0.912, 0.265], [0.500, 0.500, 0.500], [0.000, 0.000, 0.000]]}



(16)
{"formula": "Ce2SnPb2", "functional": "GGA-PBE", "state": "optimized geometry", "space_group": "P4/mbm, No. 127", "formation_energy_mev_per_atom": -341, "de_polymorph_mev_per_atom": 0.0, "rho_g_cm3": 8.742, "lattice_angstrom": [[4.633, 0.000, 0.000], [0.000, 8.167, 0.000], [0.000, 0.000, 8.167]], "species": ["Ce", "Sn", "Pb", "Sn", "Ce", "Pb", "Pb", "Ce", "Ce", "Pb"], "fractional_positions": [[0.500, 0.173, 0.673], [0.000, 0.500, 0.500], [0.000, 0.133, 0.367], [0.000, 0.000, 0.000], [0.500, 0.673, 0.827], [0.000, 0.867, 0.633], [0.000, 0.367, 0.867], [0.500, 0.827, 0.327], [0.500, 0.327, 0.173], [0.000, 0.633, 0.133]]}



(17)
{"formula": "Ce6SnPb", "functional": "GGA-PBE", "state": "optimized geometry", "space_group": "P4/mmm, No. 123", "formation_energy_mev_per_atom": -340, "rho_g_cm3": 8.722, "lattice_angstrom": [[-2.855, 0.554, 3.825], [-3.331, -2.764, -2.085], [3.924, -7.790, 4.058]], "species": ["Ce", "Sn", "Ce", "Ce", "Ce", "Ce", "Ce", "Pb"], "fractional_positions": [[0.500, 0.500, 0.000], [0.000, 0.000, 0.500], [0.000, 0.500, 0.254], [0.500, 0.000, 0.746], [0.500, 0.500, 0.500], [0.500, 0.000, 0.254], [0.000, 0.500, 0.746], [0.000, 0.000, 0.000]]}



(18)
{"formula": "Ce5Sn2Pb2", "functional": "GGA-PBE", "state": "optimized geometry", "space_group": "Cmce, No. 64", "formation_energy_mev_per_atom": -489, "de_polymorph_mev_per_atom": 0.0, "rho_g_cm3": 7.989, "lattice_angstrom": [[-2.184, -3.126, 7.465], [7.540, 2.071, 3.073], [-3.934, 5.579, 5.891]], "species": ["Sn", "Ce", "Ce", "Ce", "Sn", "Ce", "Pb", "Pb", "Sn", "Sn", "Ce", "Pb", "Ce", "Ce", "Ce", "Ce", "Pb", "Ce"], "fractional_positions": [[0.125, 0.373, 0.000], [0.315, 0.676, 0.728], [0.685, 0.324, 0.272], [0.043, 0.676, 0.272], [0.625, 0.127, 0.000], [0.957, 0.324, 0.728], [0.710, 0.500, 0.580], [0.210, 0.000, 0.580], [0.875, 0.627, 0.000], [0.375, 0.873, 0.000], [0.500, 0.500, 0.000], [0.790, 0.000, 0.420], [0.185, 0.176, 0.272], [0.815, 0.824, 0.728], [0.457, 0.176, 0.728], [0.000, 0.000, 0.000], [0.290, 0.500, 0.420], [0.543, 0.824, 0.272]]}



(19)
{"formula": "Ce7Sn5Pb", "functional": "GGA-PBE", "state": "optimized geometry", "space_group": "Imm2, No. 44", "formation_energy_mev_per_atom": -396, "rho_g_cm3": 7.663, "lattice_angstrom": [[6.386, 0.000, 0.000], [3.193, 7.777, -0.111], [3.193, -0.136, 7.776]], "species": ["Sn", "Ce", "Ce", "Ce", "Sn", "Ce", "Ce", "Sn", "Ce", "Sn", "Pb", "Ce", "Sn"], "fractional_positions": [[0.503, 0.005, 0.489], [0.639, 0.361, 0.361], [0.002, 0.666, 0.329], [0.321, 0.179, 0.179], [0.503, 0.489, 0.005], [0.511, 0.150, 0.827], [0.002, 0.329, 0.666], [0.003, 0.489, 0.005], [0.511, 0.827, 0.150], [0.003, 0.005, 0.489], [0.969, 0.031, 0.031], [0.271, 0.729, 0.729], [0.762, 0.738, 0.738]]}



(20)
{"formula": "Ce7SnPb2", "functional": "GGA-PBE", "state": "optimized geometry", "space_group": "P3m1, No. 156", "formation_energy_mev_per_atom": -224, "rho_g_cm3": 8.562, "lattice_angstrom": [[-2.553, 4.427, -1.494], [-1.693, -2.749, 4.234], [7.129, 6.498, 7.070]], "species": ["Ce", "Pb", "Ce", "Ce", "Ce", "Ce", "Pb", "Ce", "Sn", "Ce"], "fractional_positions": [[0.333, 0.667, 0.456], [0.667, 0.333, 0.351], [0.667, 0.333, 0.622], [0.000, 0.000, 0.642], [0.667, 0.333, 0.852], [0.000, 0.000, 0.248], [0.333, 0.667, 0.741], [0.333, 0.667, 0.057], [0.000, 0.000, 0.968], [0.667, 0.333, 0.079]]}